Record 1
The following is a PBE calculation of a relaxed structure of Tb4Er3Co2, from the Alexandria database.

For the raw total energy, the calculation gives -47.4 eV per formula unit. The volume is 480 Å³ per cell.

Lattice parameters (Å, degrees): 16.3074 3.5975 8.8886 90.00 113.06 90.00
Space group C2/m (No. 12)
One atom of each set of equivalent atoms:
Tb  0.1330  0.0000  0.3913 (multiplicity 4)
Tb  0.2282  0.5000  0.1481 (multiplicity 4)
Er  0.0000  0.5000  0.0000 (multiplicity 2)
Er  0.0724  0.5000  0.6936 (multiplicity 4)
Co  0.1182  0.0000  0.9365 (multiplicity 4)

Record 2
The following is a PBE calculation of a relaxed structure of Tb6ErCo3, from the Alexandria database.

For the raw total energy, the calculation gives -54.3 eV per formula unit. The volume is 1013 Å³ per cell.

Lattice parameters (Å, degrees): 10.0073 13.8676 7.2987 90.00 90.00 90.00
Space group Cmc2_1 (No. 36)
One atom of each set of equivalent atoms:
Tb  0.0000  0.0115  0.0000 (multiplicity 4)
Tb  0.0000  0.3431  0.5949 (multiplicity 4)
Tb  0.1769  0.4480  0.2248 (multiplicity 8)
Tb  0.2000  0.1854  0.3534 (multiplicity 8)
Er  0.0000  0.2566  0.0154 (multiplicity 4)
Co  0.0000  0.4383  0.9201 (multiplicity 4)
Co  0.1133  0.1644  0.7063 (multiplicity 8)

Record 3
The following is a PBE calculation of a relaxed structure of Tb3ErCo, from the Alexandria database.

For the raw total energy, the calculation gives -26.1 eV per formula unit. The volume is 558 Å³ per cell. The calculation puts the relative energy among the computed polymorphs at 0.0 meV per atom.

Lattice parameters (Å, degrees): 11.5644 8.3047 8.1411 90.00 134.46 90.00
Space group C2/m (No. 12)
One atom of each set of equivalent atoms:
Tb  0.0474  0.0000  0.3402 (multiplicity 4)
Tb  0.2494  0.2974  0.7923 (multiplicity 8)
Er  0.0471  0.5000  0.2507 (multiplicity 4)
Co  0.2503  0.0000  0.8707 (multiplicity 4)

Record 4
The following is a PBE calculation of a relaxed structure of TbEr4Co2, from the Alexandria database.

For the raw total energy, the calculation gives -37.8 eV per formula unit. The volume is 348 Å³ per cell.

Lattice parameters (Å, degrees): 7.3072 6.3465 8.2217 90.00 114.21 90.00
Space group P2_1/m (No. 11)
One atom of each set of equivalent atoms:
Tb  0.2234  0.2500  0.2165 (multiplicity 2)
Er  0.0079  0.2500  0.7652 (multiplicity 2)
Er  0.3069  0.7500  0.0003 (multiplicity 2)
Er  0.3096  0.9997  0.6042 (multiplicity 4)
Co  0.0137  0.7500  0.6204 (multiplicity 2)
Co  0.3779  0.7500  0.3589 (multiplicity 2)

Record 5
The following is a PBE calculation of a relaxed structure of Tb3Er5Co2, from the Alexandria database.

For the raw total energy, the calculation gives -51.3 eV per formula unit. The volume is 1126 Å³ per cell.

Lattice parameters (Å, degrees): 10.0675 14.6407 7.6410 90.00 90.00 90.00
Space group Ibam (No. 72)
One atom of each set of equivalent atoms:
Tb  0.0000  0.0000  0.2500 (multiplicity 4)
Tb  0.2412  0.3763  0.0000 (multiplicity 8)
Er  0.0000  0.2531  0.2500 (multiplicity 8)
Er  0.0000  0.5000  0.2500 (multiplicity 4)
Er  0.2419  0.3751  0.5000 (multiplicity 8)
Co  0.0003  0.1313  0.0000 (multiplicity 8)

Record 6
The following is a PBE calculation of a relaxed structure of TbEr4Co, from the Alexandria database.

For the raw total energy, the calculation gives -30.0 eV per formula unit. The volume is 702 Å³ per cell. The calculation puts the relative energy among the computed polymorphs at 44.9 meV per atom.

Lattice parameters (Å, degrees): 5.4226 17.7955 7.2711 90.00 90.00 90.00
Space group Cmc2_1 (No. 36)
One atom of each set of equivalent atoms:
Tb  0.0000  0.1140  0.0000 (multiplicity 4)
Er  0.0000  0.1147  0.4999 (multiplicity 4)
Er  0.0000  0.3004  0.7525 (multiplicity 4)
Er  0.0000  0.3007  0.2477 (multiplicity 4)
Er  0.0000  0.5002  0.2494 (multiplicity 4)
Co  0.0000  0.4018  0.9997 (multiplicity 4)

Record 7
The following is a PBE calculation of a relaxed structure of TbEr3Co8, from the Alexandria database.

For the raw total energy, the calculation gives -77.9 eV per formula unit. The volume is 546 Å³ per cell.

Lattice parameters (Å, degrees): 5.0460 5.0460 24.7473 90.00 90.00 120.00
Space group R3m (No. 160, hexagonal axes)
One atom of each set of equivalent atoms:
Tb  0.0000  0.0000  0.0000 (multiplicity 3)
Er  0.0000  0.0000  0.3751 (multiplicity 3)
Er  0.0000  0.0000  0.4999 (multiplicity 3)
Er  0.0000  0.0000  0.8749 (multiplicity 3)
Co  0.0000  0.0000  0.1874 (multiplicity 3)
Co  0.0000  0.0000  0.6876 (multiplicity 3)
Co  0.0013  0.5007  0.4380 (multiplicity 9)
Co  0.1671  0.3341  0.2703 (multiplicity 9)

Record 8
The following is a PBE calculation of a relaxed structure of Tb2Er5Co4, from the Alexandria database.

For the raw total energy, the calculation gives -60.1 eV per formula unit. The volume is 530 Å³ per cell.

Lattice parameters (Å, degrees): 11.8944 6.4161 8.8694 90.00 128.42 90.00
Space group C2/m (No. 12)
One atom of each set of equivalent atoms:
Tb  0.2187  0.0000  0.1285 (multiplicity 4)
Er  0.0000  0.5000  0.0000 (multiplicity 2)
Er  0.0702  0.2426  0.3903 (multiplicity 8)
Co  0.1762  0.0000  0.7981 (multiplicity 4)
Co  0.2200  0.5000  0.3412 (multiplicity 4)

Record 9
The following is a PBE calculation of a relaxed structure of TbEr6Co2, from the Alexandria database.

For the raw total energy, the calculation gives -46.9 eV per formula unit. The volume is 921 Å³ per cell.

Lattice parameters (Å, degrees): 9.4351 9.7525 10.0039 90.00 90.00 90.00
Space group Immm (No. 71)
One atom of each set of equivalent atoms:
Tb  0.0000  0.0000  0.0000 (multiplicity 2)
Tb  0.0000  0.0000  0.5000 (multiplicity 2)
Er  0.0000  0.2152  0.2418 (multiplicity 8)
Er  0.1848  0.5000  0.1815 (multiplicity 8)
Er  0.2129  0.3142  0.5000 (multiplicity 8)
Co  0.0000  0.3095  0.0000 (multiplicity 4)
Co  0.0000  0.5000  0.3866 (multiplicity 4)

Record 10
The following is a PBE calculation of a relaxed structure of Tb3ErCo, from the Alexandria database.

For the raw total energy, the calculation gives -25.6 eV per formula unit. The volume is 539 Å³ per cell. The calculation puts the relative energy among the computed polymorphs at 97.1 meV per atom.

Lattice parameters (Å, degrees): 7.7545 7.3141 9.9472 90.00 107.09 90.00
Space group P2_1/c (No. 14)
One atom of each set of equivalent atoms:
Tb  0.0822  0.1282  0.3923 (multiplicity 4)
Tb  0.2130  0.5059  0.6179 (multiplicity 4)
Tb  0.4163  0.7020  0.9696 (multiplicity 4)
Er  0.3108  0.0555  0.7458 (multiplicity 4)
Co  0.0452  0.7448  0.3904 (multiplicity 4)

Record 11
The following is a PBE calculation of a relaxed structure of TbErThCo, from the Alexandria database.

For the raw total energy, the calculation gives -23.7 eV per formula unit. The volume is 110 Å³ per cell.

Lattice parameters (Å, degrees): 3.7080 3.7103 9.2212 89.97 89.98 60.08
Space group P1 (No. 1)
One atom of each set of equivalent atoms:
Tb  0.0000  0.0000  0.0000 (multiplicity 1)
Er  0.3335  0.3356  0.6926 (multiplicity 1)
Th  0.3336  0.3366  0.3229 (multiplicity 1)
Co  0.0001  0.0021  0.4982 (multiplicity 1)

Record 12
The following is a PBE calculation of a relaxed structure of Er12Co6Tc, from the Alexandria database.

For the raw total energy, the calculation gives -110.6 eV per formula unit. The volume is 835 Å³ per cell.

Lattice parameters (Å, degrees): 9.4180 9.4180 9.4180 90.00 90.00 90.00
Space group Im-3 (No. 204)
One atom of each set of equivalent atoms:
Er  0.0000  0.1895  0.2945 (multiplicity 24)
Co  0.0000  0.3839  0.5000 (multiplicity 12)
Tc  0.0000  0.0000  0.0000 (multiplicity 2)

The lowest raw total energy belongs to which entry?
Er12Co6Tc

Among the records above, which one has the lowest raw total energy?
Er12Co6Tc

Which of these has the lowest raw total energy?
Er12Co6Tc

What is the raw total energy in the second record?
-54.3 eV per formula unit